! Al2Cu13 | Alexandria | PBE | optimized geometry; values from VASP
&SYSTEM
  ibrav = 0, nat = 15, ntyp = 2
/
ATOMIC_SPECIES
Al 26.98 Al.upf
Cu 63.55 Cu.upf
CELL_PARAMETERS angstrom
3.278 1.893 5.943
-3.278 1.893 5.943
0.000 -3.786 5.943
ATOMIC_POSITIONS angstrom
Al 0.000 0.000 2.384
Al 0.000 0.000 15.445
Cu 0.000 0.000 0.000
Cu 0.000 -1.445 4.346
Cu -1.252 0.723 4.346
Cu 0.000 -1.419 6.812
Cu -1.229 0.709 6.812
Cu -1.229 -0.709 11.017
Cu 1.252 0.723 4.346
Cu -1.252 -0.723 13.483
Cu 1.229 0.709 6.812
Cu 1.229 -0.709 11.017
Cu 0.000 1.419 11.017
Cu 1.252 -0.723 13.483
Cu 0.000 1.445 13.483
! ρ   6.60 g cm⁻³
! SG   R-3m (166)
! DFT total energy   -57.3 eV for the cell shown
! DOS(E_F)   0.281 states/eV per atom
! Calculated volume   221 Å³ per cell
! E_form   0.226 eV per atom